# NaDyIr | the Open Quantum Materials Database | PBE | optimized geometry
# Relative energy among the computed polymorphs   0.0 meV per atom
data_NaDyIr
_symmetry_space_group_name_H-M 'F -4 3 m'
_symmetry_Int_Tables_number 216
_symmetry_space_group_name_Hall 'F -4 2 3'
_cell_length_a 6.636
_cell_length_b 6.636
_cell_length_c 6.636
_cell_angle_alpha 90.00
_cell_angle_beta 90.00
_cell_angle_gamma 90.00
loop_
_atom_site_label
_atom_site_fract_x
_atom_site_fract_y
_atom_site_fract_z
_atom_site_occupancy
Na1 0.000 0.000 0.000 1
Dy1 0.000 0.000 0.500 1
Ir1 0.250 0.250 0.250 1

# DyNbIr | the Open Quantum Materials Database | PBE | optimized geometry
# Formation energy   -0.171 eV/atom
# Relative energy among the computed polymorphs   0.0 meV per atom
data_DyNbIr
_symmetry_space_group_name_H-M 'F -4 3 m'
_symmetry_Int_Tables_number 216
_symmetry_space_group_name_Hall 'F -4 2 3'
_cell_length_a 6.476
_cell_length_b 6.476
_cell_length_c 6.476
_cell_angle_alpha 90.00
_cell_angle_beta 90.00
_cell_angle_gamma 90.00
loop_
_atom_site_label
_atom_site_fract_x
_atom_site_fract_y
_atom_site_fract_z
_atom_site_occupancy
Dy1 0.000 0.000 0.000 1
Nb1 0.000 0.000 0.500 1
Ir1 0.250 0.250 0.750 1

# DyNbIr | the Open Quantum Materials Database | PBE | optimized geometry
# Formation energy   0.910 eV/atom
# Relative energy among the computed polymorphs   1081.7 meV per atom
data_DyNbIr
_symmetry_space_group_name_H-M 'F -4 3 m'
_symmetry_Int_Tables_number 216
_symmetry_space_group_name_Hall 'F -4 2 3'
_cell_length_a 6.432
_cell_length_b 6.432
_cell_length_c 6.432
_cell_angle_alpha 90.00
_cell_angle_beta 90.00
_cell_angle_gamma 90.00
loop_
_atom_site_label
_atom_site_fract_x
_atom_site_fract_y
_atom_site_fract_z
_atom_site_occupancy
Dy1 0.000 0.000 0.000 1
Nb1 0.250 0.250 0.250 1
Ir1 0.250 0.250 0.750 1

# Nd2DyNiSn3Ir2 | the Open Quantum Materials Database | PBE | optimized geometry
# VASP energy   -112.30 eV for the cell shown
data_Nd2DyNiSn3Ir2
_symmetry_space_group_name_H-M 'A m m 2'
_symmetry_Int_Tables_number 38
_symmetry_space_group_name_Hall 'A 2 -2'
_cell_length_a 4.010
_cell_length_b 12.971
_cell_length_c 7.535
_cell_angle_alpha 90.00
_cell_angle_beta 90.00
_cell_angle_gamma 90.00
loop_
_atom_site_label
_atom_site_fract_x
_atom_site_fract_y
_atom_site_fract_z
_atom_site_occupancy
Nd1 0.000 0.205 0.000 1
Dy1 0.000 0.000 0.386 1
Ni1 0.000 0.000 0.790 1
Sn1 0.500 0.000 0.045 1
Sn2 0.500 0.124 0.668 1
Ir1 0.500 0.162 0.296 1

# NdDyP2Ir2O2 | the Open Quantum Materials Database | PBE | optimized geometry
# VASP energy   -63.38 eV for the cell shown
data_NdDyP2Ir2O2
_symmetry_space_group_name_H-M 'P 4 m m'
_symmetry_Int_Tables_number 99
_symmetry_space_group_name_Hall 'P 4 -2'
_cell_length_a 3.973
_cell_length_b 3.973
_cell_length_c 8.178
_cell_angle_alpha 90.00
_cell_angle_beta 90.00
_cell_angle_gamma 90.00
loop_
_atom_site_label
_atom_site_fract_x
_atom_site_fract_y
_atom_site_fract_z
_atom_site_occupancy
Nd1 0.000 0.000 0.000 1
Dy1 0.500 0.500 0.721 1
P1 0.000 0.000 0.520 1
P2 0.500 0.500 0.201 1
Ir1 0.000 0.500 0.361 1
O1 0.000 0.500 0.850 1

# Nd2DyIrPd2Pb3 | the Open Quantum Materials Database | PBE | optimized geometry
# VASP energy   -100.83 eV for the cell shown
data_Nd2DyIrPd2Pb3
_symmetry_space_group_name_H-M 'A m m 2'
_symmetry_Int_Tables_number 38
_symmetry_space_group_name_Hall 'A 2 -2'
_cell_length_a 3.982
_cell_length_b 13.615
_cell_length_c 7.873
_cell_angle_alpha 90.00
_cell_angle_beta 90.00
_cell_angle_gamma 90.00
loop_
_atom_site_label
_atom_site_fract_x
_atom_site_fract_y
_atom_site_fract_z
_atom_site_occupancy
Nd1 0.000 0.200 0.000 1
Dy1 0.000 0.000 0.402 1
Ir1 0.000 0.000 0.794 1
Pd1 0.500 0.163 0.301 1
Pb1 0.500 0.000 0.061 1
Pb2 0.500 0.130 0.668 1